w) A plane-wave DFT calculation with PBE was carried out for a geometry-optimized TaPbNO structure. Values from VASP.

```
&SYSTEM
  ibrav = 0, nat = 16, ntyp = 4
/
ATOMIC_SPECIES
N 14.01 N.upf
O 16.00 O.upf
Pb 207.20 Pb.upf
Ta 180.95 Ta.upf
CELL_PARAMETERS angstrom
-3.826 -1.120 4.885
4.496 -7.085 1.897
3.447 3.100 3.409
ATOMIC_POSITIONS angstrom
N -2.628 -0.992 4.952
N 3.220 -6.635 4.170
N 0.161 0.870 5.295
N 6.010 -4.773 4.513
O -0.561 -2.337 3.218
O 3.401 -5.006 1.640
O -0.634 -1.312 7.216
O 3.328 -3.982 5.638
Pb 1.633 -3.290 1.480
Pb 0.151 -4.528 4.104
Pb 2.341 -2.037 4.480
Pb 0.859 -3.275 7.105
Ta -1.391 -0.024 6.193
Ta 4.330 -5.465 5.357
Ta 1.446 1.852 6.476
Ta 7.166 -3.589 5.640
```

Properties
V: 312 Å³/cell
SG: Pca2_1

---

x) A plane-wave DFT calculation with PBE was carried out for a geometry-optimized TaPbNO structure. Values from VASP.

```
&SYSTEM
  ibrav = 0, nat = 8, ntyp = 4
/
ATOMIC_SPECIES
N 14.01 N.upf
O 16.00 O.upf
Pb 207.20 Pb.upf
Ta 180.95 Ta.upf
CELL_PARAMETERS angstrom
4.028 0.000 0.000
0.000 4.028 0.000
0.000 0.000 9.097
ATOMIC_POSITIONS angstrom
N 3.021 3.021 4.004
N 1.007 1.007 5.093
O 3.021 1.007 0.000
O 1.007 3.021 0.000
Pb 1.007 1.007 1.194
Pb 3.021 3.021 7.903
Ta 3.021 1.007 4.549
Ta 1.007 3.021 4.549
```

Properties
V: 148 Å³/cell
SG: P4/nmm

---

Most stable: w)

---

w) A plane-wave DFT calculation with PBE was carried out for a geometry-optimized TbPbNO structure. Values from VASP.

```
&SYSTEM
  ibrav = 0, nat = 8, ntyp = 4
/
ATOMIC_SPECIES
N 14.01 N.upf
O 16.00 O.upf
Pb 207.20 Pb.upf
Tb 158.93 Tb.upf
CELL_PARAMETERS angstrom
-1.833 -3.175 0.000
0.000 0.000 6.020
-6.382 3.684 0.000
ATOMIC_POSITIONS angstrom
N -2.145 1.238 5.348
N -4.237 2.446 2.337
O -2.723 -0.545 2.152
O -5.492 1.054 5.162
Pb -1.938 -0.998 6.019
Pb -6.277 1.507 3.008
Tb -2.377 1.372 3.062
Tb -4.004 2.312 0.052
```

Properties
V: 163 Å³/cell
SG: Pmc2_1

---

x) A plane-wave DFT calculation with PBE was carried out for a geometry-optimized TbPbNO structure. Values from VASP.

```
&SYSTEM
  ibrav = 0, nat = 8, ntyp = 4
/
ATOMIC_SPECIES
N 14.01 N.upf
O 16.00 O.upf
Pb 207.20 Pb.upf
Tb 158.93 Tb.upf
CELL_PARAMETERS angstrom
4.393 0.000 0.000
0.000 4.393 0.000
0.000 0.000 8.519
ATOMIC_POSITIONS angstrom
N 0.000 2.197 3.582
N 2.197 0.000 4.937
O 0.000 0.000 0.000
O 2.197 2.197 0.000
Pb 2.197 0.000 1.001
Pb 0.000 2.197 7.518
Tb 0.000 0.000 4.259
Tb 2.197 2.197 4.259
```

Properties
V: 164 Å³/cell
SG: P4/nmm

---

Most stable: w)